(1)
A plane-wave DFT calculation with GGA-PBE was carried out for an optimized crystal structure of TlRuNF2.

a = 4.505 Å, b = 4.505 Å, c = 4.205 Å
α = 90.00°, β = 90.00°, γ = 90.00°
Atoms (fractional coordinates):
Tl 0.000 0.000 0.000
Ru 0.500 0.500 0.500
N 0.000 0.000 0.500
F 0.000 0.500 0.000
F 0.500 0.000 0.000

Values from the calculation:
**Offset from the most stable computed form**: 1275 meV/atom
**Crystal system**: tetragonal
**E_form (uncorrected)**: 0.554 eV/atom



(2)
A plane-wave DFT calculation with GGA-PBE was carried out for an optimized crystal structure of TlRuN2F.

a = 3.861 Å, b = 3.861 Å, c = 4.757 Å
α = 90.00°, β = 90.00°, γ = 90.00°
Atoms (fractional coordinates):
Tl 0.000 0.000 0.000
Ru 0.500 0.500 0.500
N 0.000 0.500 0.500
N 0.500 0.000 0.500
F 0.500 0.500 0.000

Values from the calculation:
**Offset from the most stable computed form**: 0 meV/atom
**Crystal system**: tetragonal
**E_form (uncorrected)**: 0.180 eV/atom



(3)
A plane-wave DFT calculation with GGA-PBE was carried out for an optimized crystal structure of YRuNF2.

a = 4.226 Å, b = 4.226 Å, c = 4.778 Å
α = 90.00°, β = 90.00°, γ = 90.00°
Atoms (fractional coordinates):
Y 0.000 0.000 0.000
Ru 0.500 0.500 0.500
N 0.000 0.000 0.500
F 0.000 0.500 0.000
F 0.500 0.000 0.000

Values from the calculation:
**Offset from the most stable computed form**: 116 meV/atom
**Crystal system**: tetragonal
**E_form (uncorrected)**: -0.884 eV/atom



Q: Among the records above, which one has the lowest offset from the most stable computed form?
A: TlRuN2F